PrAgO: optimized geometry, PBE-GGA.

For the formation energy from raw total energies, the calculation gives -5.67 eV/f.u. For the total energy, the calculation gives -36.5 eV per cell. As for the crystal system: tetragonal.

The structure belongs to space group P4/nmm (No. 129, origin choice 2); the cell edges are 4.0471, 4.0471 and 7.7429 Å and the angles 90.00°, 90.00° and 90.00°. Symmetry generates all atoms from Pr at (0.2500, 0.2500, 0.1554), Ag at (0.2500, 0.2500, 0.5658) and O at (0.2500, 0.7500, 0.0000).